First-principles (PBE) data for an optimized crystal structure of Dy3TePb, as listed in the Alexandria database. Values from VASP.

Structure (Quantum ESPRESSO input):
```
&SYSTEM
  ibrav = 0, nat = 10, ntyp = 3
/
ATOMIC_SPECIES
Dy 162.50 Dy.upf
Te 127.60 Te.upf
Pb 207.20 Pb.upf
CELL_PARAMETERS angstrom
8.614 0.000 0.000
0.000 4.321 0.000
-0.624 0.000 8.711
ATOMIC_POSITIONS angstrom
Dy 0.767 1.080 3.186
Dy 1.317 3.240 0.056
Dy 2.896 3.240 5.676
Dy 5.093 1.080 3.035
Dy 6.673 1.080 8.655
Dy 7.223 3.240 5.525
Te 2.945 3.240 2.648
Te 5.045 1.080 6.062
Pb 0.736 1.080 6.471
Pb 7.254 3.240 2.240
```

Summary:
Symmetry: No. 11
ΔE_f (raw) in eV per atom: -0.68